First-principles (PBE) data for a geometry-optimized Li17Pb4 structure, as listed in the Alexandria database.

Cell: 19.901 19.901 19.901 Å, 90.00 90.00 90.00°
Space group F-43m (No. 216)
Asymmetric unit:
Li (0.000, 0.000, 0.000)
Li (0.000, 0.000, 0.172)
Li (0.007, 0.163, 0.837)
Li (0.019, 0.154, 0.346)
Li (0.056, 0.056, 0.444)
Li (0.075, 0.075, 0.925)
Li (0.076, 0.250, 0.750)
Li (0.084, 0.084, 0.584)
Li (0.090, 0.090, 0.239)
Li (0.093, 0.093, 0.735)
Li (0.171, 0.171, 0.171)
Li (0.183, 0.183, 0.317)
Li (0.196, 0.196, 0.696)
Pb (0.000, 0.000, 0.320)
Pb (0.071, 0.250, 0.250)
Pb (0.084, 0.084, 0.084)
Pb (0.160, 0.160, 0.840)

The energy of formation is -283.9 meV/atom. Its total energy is -2.540 eV/atom.